(1)
DFT (PBE) results for crystalline ScBTeN2 at its relaxed geometry.

The space group is P4/mmm (No. 123) and the conventional cell measures 3.958, 3.958 and 6.205 Å, with angles of 90.00, 90.00 and 90.00 degrees. The distinct sites, in fractional coordinates, are Sc at (0.000, 0.000, 0.000), B at (0.500, 0.500, 0.500), Te at (0.000, 0.000, 0.500) and N at (0.000, 0.500, 0.000).

The calculation puts the energy above the lowest structure with this stoichiometry at 256 meV per atom. Its total magnetization is 0.0844 μB/atom. The calculation puts the theoretical density at 3.6 Mg/m³. The density of states at the Fermi level is 0.7167 states/eV/atom. As for the crystal system: tetragonal.



(2)
DFT (PBE) results for crystalline ScTiB2N at its relaxed geometry.

The space group is P4/mmm (No. 123) and the conventional cell measures 3.830, 3.830 and 3.874 Å, with angles of 90.00, 90.00 and 90.00 degrees. The distinct sites, in fractional coordinates, are Sc at (0.000, 0.000, 0.000), Ti at (0.500, 0.500, 0.000), B at (0.000, 0.500, 0.500) and N at (0.500, 0.500, 0.500).

The calculation puts the total energy at -6.558 eV per atom. Its total magnetization is 0.0002 μB/atom. The calculation puts the theoretical density at 3.8 Mg/m³. The density of states at the Fermi level is 0.8158 states/eV/atom. As for the crystal system: tetragonal.